Sc2GaNi2 | PBEsol | optimized geometry

Cell: 3.280 3.280 15.415 Å, 90.00 90.00 90.00°
Sites, in units of the cell vectors:
Sc1 0.000 0.000 0.117
Sc2 0.000 0.000 0.883
Sc3 0.500 0.500 0.383
Sc4 0.500 0.500 0.617
Ga1 0.000 0.000 0.500
Ga2 0.500 0.500 0.000
Ni1 0.000 0.500 0.250
Ni2 0.000 0.500 0.750
Ni3 0.500 0.000 0.250
Ni4 0.500 0.000 0.750

Formation enthalpy at 0 K, eV/f.u.: -1.5
Symmetry: I4/mmm, No. 139
Calculated density, kg/m3: 5547